Density functional theory data (PBE) for a relaxed Re2MoAs crystal.

The calculation puts the total magnetic moment at 0.01 μB per cell. The total energy comes out at -155.09 eV/cell.

The structure belongs to space group F-43m (No. 216); the cell edges are 6.2502, 6.2502 and 6.2502 Å and the angles 90.00°, 90.00° and 90.00°. Symmetry generates all atoms from Re at (0.0000, 0.0000, 0.0000), Re at (0.2500, 0.2500, 0.2500), Mo at (0.2500, 0.2500, 0.7500) and As at (0.0000, 0.0000, 0.5000).

---

Density functional theory data (PBE) for a relaxed Sb2MoAs crystal.

The calculation puts the total magnetic moment at 0.45 μB per cell. The total energy comes out at -85.76 eV/cell.

The structure belongs to space group F-43m (No. 216); the cell edges are 6.8965, 6.8965 and 6.8965 Å and the angles 90.00°, 90.00° and 90.00°. Symmetry generates all atoms from Sb at (0.0000, 0.0000, 0.0000), Sb at (0.2500, 0.2500, 0.2500), Mo at (0.2500, 0.2500, 0.7500) and As at (0.0000, 0.0000, 0.5000).

---

Density functional theory data (PBE) for a relaxed SbMoAs2 crystal.

The calculation puts the total magnetic moment at 0.16 μB per cell. The total energy comes out at -88.40 eV/cell.

The structure belongs to space group F-43m (No. 216); the cell edges are 6.6917, 6.6917 and 6.6917 Å and the angles 90.00°, 90.00° and 90.00°. Symmetry generates all atoms from Sb at (0.0000, 0.0000, 0.0000), Mo at (0.2500, 0.2500, 0.2500), As at (0.0000, 0.0000, 0.5000) and As at (0.2500, 0.2500, 0.7500).

---

Density functional theory data (PBE) for a relaxed ScMo2As crystal.

The calculation puts the total magnetic moment at 0.13 μB per cell. The total energy comes out at -131.55 eV/cell.

The structure belongs to space group F-43m (No. 216); the cell edges are 6.3833, 6.3833 and 6.3833 Å and the angles 90.00°, 90.00° and 90.00°. Symmetry generates all atoms from Sc at (0.0000, 0.0000, 0.0000), Mo at (0.0000, 0.0000, 0.5000), Mo at (0.2500, 0.2500, 0.2500) and As at (0.2500, 0.2500, 0.7500).

---

Density functional theory data (PBE) for a relaxed ScMoAs2 crystal.

The calculation puts the total magnetic moment at 0.16 μB per cell. The total energy comes out at -104.73 eV/cell.

The structure belongs to space group F-43m (No. 216); the cell edges are 6.5053, 6.5053 and 6.5053 Å and the angles 90.00°, 90.00° and 90.00°. Symmetry generates all atoms from Sc at (0.0000, 0.0000, 0.0000), Mo at (0.2500, 0.2500, 0.2500), As at (0.0000, 0.0000, 0.5000) and As at (0.2500, 0.2500, 0.7500).

---

Density functional theory data (PBE) for a relaxed MoAsSe4 crystal.

The calculation puts the total magnetic moment at 0.02 μB per cell. The total energy comes out at -30.81 eV/cell.

The structure belongs to space group P-6m2 (No. 187); the cell edges are 3.3852, 3.3852 and 13.7552 Å and the angles 90.00°, 90.00° and 120.00°. Symmetry generates all atoms from Mo at (0.0000, 0.0000, 0.0000), As at (0.3333, 0.6667, 0.5000), Se at (0.0000, 0.0000, 0.3685) and Se at (0.3333, 0.6667, 0.1202).

---

Density functional theory data (PBE) for a relaxed MoAs3Se crystal.

The calculation puts the total magnetic moment at 2.98 μB per cell. The total energy comes out at -21.90 eV/cell.

The structure belongs to space group Pm-3m (No. 221); the cell edges are 4.8991, 4.8991 and 4.8991 Å and the angles 90.00°, 90.00° and 90.00°. Symmetry generates all atoms from Mo at (0.0000, 0.0000, 0.0000), As at (0.0000, 0.5000, 0.5000) and Se at (0.5000, 0.5000, 0.5000).

---

Density functional theory data (PBE) for a relaxed SiMoAs2 crystal.

The calculation puts the total magnetic moment at 0.02 μB per cell. The total energy comes out at -94.49 eV/cell.

The structure belongs to space group F-43m (No. 216); the cell edges are 6.3718, 6.3718 and 6.3718 Å and the angles 90.00°, 90.00° and 90.00°. Symmetry generates all atoms from Si at (0.0000, 0.0000, 0.0000), Mo at (0.2500, 0.2500, 0.2500), As at (0.0000, 0.0000, 0.5000) and As at (0.2500, 0.2500, 0.7500).

---

Density functional theory data (PBE) for a relaxed SmMoAs crystal.

The calculation puts the total magnetic moment at 0.44 μB per cell. The total energy comes out at -81.10 eV/cell.

The structure belongs to space group F-43m (No. 216); the cell edges are 6.4598, 6.4598 and 6.4598 Å and the angles 90.00°, 90.00° and 90.00°. Symmetry generates all atoms from Sm at (0.0000, 0.0000, 0.0000), Mo at (0.0000, 0.0000, 0.5000) and As at (0.2500, 0.2500, 0.7500).

---

Density functional theory data (PBE) for a relaxed SmMoAs4 crystal.

The calculation puts the total magnetic moment at 0.02 μB per cell. The total energy comes out at -73.37 eV/cell.

The structure belongs to space group Cm (No. 8); the cell edges are 9.4555, 3.4801 and 8.6359 Å and the angles 90.00°, 117.29° and 90.00°. Symmetry generates all atoms from Sm at (0.0000, 0.0000, 0.0000), Mo at (0.3157, 0.0000, 0.4071), As at (0.9996, 0.0000, 0.6402), As at (0.0683, 0.5000, 0.3223), As at (0.2829, 0.0000, 0.6887) and As at (0.2850, 0.5000, 0.1652).

---

Density functional theory data (PBE) for a relaxed SmMoAs crystal.

The calculation puts the total magnetic moment at 14.37 μB per cell. The total energy comes out at -69.90 eV/cell.

The structure belongs to space group F-43m (No. 216); the cell edges are 6.8402, 6.8402 and 6.8402 Å and the angles 90.00°, 90.00° and 90.00°. Symmetry generates all atoms from Sm at (0.0000, 0.0000, 0.0000), Mo at (0.2500, 0.2500, 0.2500) and As at (0.2500, 0.2500, 0.7500).

---

Density functional theory data (PBE) for a relaxed SnMoAs2 crystal.

The calculation puts the total magnetic moment at 0.04 μB per cell. The total energy comes out at -87.19 eV/cell.

The structure belongs to space group F-43m (No. 216); the cell edges are 6.6973, 6.6973 and 6.6973 Å and the angles 90.00°, 90.00° and 90.00°. Symmetry generates all atoms from Sn at (0.0000, 0.0000, 0.0000), Mo at (0.2500, 0.2500, 0.2500), As at (0.0000, 0.0000, 0.5000) and As at (0.2500, 0.2500, 0.7500).